*P*
# SrZrCu2, optimized geometry, DFT PBE-GGA
# N(E_F) = 8.51 states/eV/cell
# Crystal system = cubic
# Mass density = 5.99 g/cm³
data_SrZrCu2
_symmetry_space_group_name_H-M 'F m -3 m'
_symmetry_Int_Tables_number 225
_symmetry_space_group_name_Hall '-F 4 2 3'
_cell_length_a 6.975
_cell_length_b 6.975
_cell_length_c 6.975
_cell_angle_alpha 90.00
_cell_angle_beta 90.00
_cell_angle_gamma 90.00
loop_
_atom_site_label
_atom_site_type_symbol
_atom_site_fract_x
_atom_site_fract_y
_atom_site_fract_z
_atom_site_occupancy
Sr1 Sr 0.000 0.000 0.000 1
Zr1 Zr 0.000 0.000 0.500 1
Cu1 Cu 0.250 0.250 0.250 1

*Q*
# SrZrCu2, optimized geometry, DFT PBE-GGA
# N(E_F) = 27.78 states/eV/cell
# Crystal system = tetragonal
# Mass density = 5.06 g/cm³
data_SrZrCu2
_symmetry_space_group_name_H-M 'I -4 2 d'
_symmetry_Int_Tables_number 122
_symmetry_space_group_name_Hall 'I -4 2bw'
_cell_length_a 7.483
_cell_length_b 7.483
_cell_length_c 7.166
_cell_angle_alpha 90.00
_cell_angle_beta 90.00
_cell_angle_gamma 90.00
loop_
_atom_site_label
_atom_site_type_symbol
_atom_site_fract_x
_atom_site_fract_y
_atom_site_fract_z
_atom_site_occupancy
Sr1 Sr 0.000 0.000 0.000 1
Zr1 Zr 0.000 0.000 0.500 1
Cu1 Cu 0.205 0.250 0.625 1

*R*
# SrZrCu2, optimized geometry, DFT PBE-GGA
# N(E_F) = 2.49 states/eV/cell
# Crystal system = cubic
# Mass density = 6.60 g/cm³
data_SrZrCu2
_symmetry_space_group_name_H-M 'F -4 3 m'
_symmetry_Int_Tables_number 216
_symmetry_space_group_name_Hall 'F -4 2 3'
_cell_length_a 6.753
_cell_length_b 6.753
_cell_length_c 6.753
_cell_angle_alpha 90.00
_cell_angle_beta 90.00
_cell_angle_gamma 90.00
loop_
_atom_site_label
_atom_site_type_symbol
_atom_site_fract_x
_atom_site_fract_y
_atom_site_fract_z
_atom_site_occupancy
Sr1 Sr 0.000 0.000 0.000 1
Zr1 Zr 0.250 0.250 0.750 1
Cu1 Cu 0.000 0.000 0.500 1
Cu2 Cu 0.250 0.250 0.250 1

Relative to the most stable structure, the computed energies are *P* 0.0; *Q* 21.7; *R* 23.8, all in kJ/mol of atoms.

*P*
# SrZrCu2, optimized geometry, DFT PBE-GGA
# N(E_F) = 9.27 states/eV/cell
# Crystal system = monoclinic
# Mass density = 5.15 g/cm³
data_SrZrCu2
_symmetry_space_group_name_H-M 'C 1 m 1'
_symmetry_Int_Tables_number 8
_symmetry_space_group_name_Hall 'C -2y'
_cell_length_a 7.408
_cell_length_b 4.288
_cell_length_c 6.696
_cell_angle_alpha 90.00
_cell_angle_beta 111.87
_cell_angle_gamma 90.00
loop_
_atom_site_label
_atom_site_type_symbol
_atom_site_fract_x
_atom_site_fract_y
_atom_site_fract_z
_atom_site_occupancy
Sr1 Sr 0.000 0.000 0.000 1
Zr1 Zr 0.317 0.500 0.452 1
Cu1 Cu 0.046 0.500 0.638 1
Cu2 Cu 0.210 0.000 0.631 1

*Q*
# SrZrCu2, optimized geometry, DFT PBE-GGA
# N(E_F) = 3.35 states/eV/cell
# Crystal system = orthorhombic
# Mass density = 5.90 g/cm³
data_SrZrCu2
_symmetry_space_group_name_H-M 'P m m m'
_symmetry_Int_Tables_number 47
_symmetry_space_group_name_Hall '-P 2 2'
_cell_length_a 3.453
_cell_length_b 3.466
_cell_length_c 7.191
_cell_angle_alpha 90.00
_cell_angle_beta 90.00
_cell_angle_gamma 90.00
loop_
_atom_site_label
_atom_site_type_symbol
_atom_site_fract_x
_atom_site_fract_y
_atom_site_fract_z
_atom_site_occupancy
Sr1 Sr 0.000 0.000 0.000 1
Zr1 Zr 0.000 0.000 0.500 1
Cu1 Cu 0.500 0.500 0.313 1

Relative to the most stable structure, the computed energies are *P* 13.9; *Q* 0.0, all in kJ/mol of atoms.

*P*
# SrZr2Cu2, optimized geometry, DFT PBE-GGA
# N(E_F) = 10.04 states/eV/cell
# Crystal system = tetragonal
# Mass density = 6.26 g/cm³
data_SrZr2Cu2
_symmetry_space_group_name_H-M 'P 4/m b m'
_symmetry_Int_Tables_number 127
_symmetry_space_group_name_Hall '-P 4 2ab'
_cell_length_a 8.372
_cell_length_b 8.372
_cell_length_c 3.004
_cell_angle_alpha 90.00
_cell_angle_beta 90.00
_cell_angle_gamma 90.00
loop_
_atom_site_label
_atom_site_type_symbol
_atom_site_fract_x
_atom_site_fract_y
_atom_site_fract_z
_atom_site_occupancy
Sr1 Sr 0.000 0.000 0.000 1
Zr1 Zr 0.126 0.374 0.000 1
Cu1 Cu 0.168 0.668 0.500 1

*Q*
# SrZr2Cu2, optimized geometry, DFT PBE-GGA
# N(E_F) = 6.68 states/eV/cell
# Crystal system = tetragonal
# Mass density = 5.38 g/cm³
data_SrZr2Cu2
_symmetry_space_group_name_H-M 'I 4/m m m'
_symmetry_Int_Tables_number 139
_symmetry_space_group_name_Hall '-I 4 2'
_cell_length_a 4.867
_cell_length_b 4.867
_cell_length_c 10.342
_cell_angle_alpha 90.00
_cell_angle_beta 90.00
_cell_angle_gamma 90.00
loop_
_atom_site_label
_atom_site_type_symbol
_atom_site_fract_x
_atom_site_fract_y
_atom_site_fract_z
_atom_site_occupancy
Sr1 Sr 0.000 0.000 0.000 1
Zr1 Zr 0.000 0.000 0.349 1
Cu1 Cu 0.000 0.500 0.250 1

*R*
# SrZr2Cu2, optimized geometry, DFT PBE-GGA
# N(E_F) = 10.16 states/eV/cell
# Crystal system = tetragonal
# Mass density = 6.19 g/cm³
data_SrZr2Cu2
_symmetry_space_group_name_H-M 'P 4/m b m'
_symmetry_Int_Tables_number 127
_symmetry_space_group_name_Hall '-P 4 2ab'
_cell_length_a 8.284
_cell_length_b 8.284
_cell_length_c 3.106
_cell_angle_alpha 90.00
_cell_angle_beta 90.00
_cell_angle_gamma 90.00
loop_
_atom_site_label
_atom_site_type_symbol
_atom_site_fract_x
_atom_site_fract_y
_atom_site_fract_z
_atom_site_occupancy
Sr1 Sr 0.000 0.000 0.000 1
Zr1 Zr 0.157 0.343 0.500 1
Cu1 Cu 0.128 0.628 0.000 1

Relative to the most stable structure, the computed energies are *P* 0.0; *Q* 12.3; *R* 3.7, all in kJ/mol of atoms.

*P*
# SrZr2Cu, optimized geometry, DFT PBE-GGA
# N(E_F) = 9.82 states/eV/cell
# Crystal system = tetragonal
# Mass density = 5.63 g/cm³
data_SrZr2Cu
_symmetry_space_group_name_H-M 'I 4/m m m'
_symmetry_Int_Tables_number 139
_symmetry_space_group_name_Hall '-I 4 2'
_cell_length_a 4.241
_cell_length_b 4.241
_cell_length_c 10.938
_cell_angle_alpha 90.00
_cell_angle_beta 90.00
_cell_angle_gamma 90.00
loop_
_atom_site_label
_atom_site_type_symbol
_atom_site_fract_x
_atom_site_fract_y
_atom_site_fract_z
_atom_site_occupancy
Sr1 Sr 0.000 0.000 0.000 1
Zr1 Zr 0.000 0.500 0.250 1
Cu1 Cu 0.000 0.000 0.500 1

*Q*
# SrZr2Cu, optimized geometry, DFT PBE-GGA
# N(E_F) = 11.58 states/eV/cell
# Crystal system = tetragonal
# Mass density = 5.84 g/cm³
data_SrZr2Cu
_symmetry_space_group_name_H-M 'I -4 m 2'
_symmetry_Int_Tables_number 119
_symmetry_space_group_name_Hall 'I -4 -2'
_cell_length_a 4.623
_cell_length_b 4.623
_cell_length_c 8.879
_cell_angle_alpha 90.00
_cell_angle_beta 90.00
_cell_angle_gamma 90.00
loop_
_atom_site_label
_atom_site_type_symbol
_atom_site_fract_x
_atom_site_fract_y
_atom_site_fract_z
_atom_site_occupancy
Sr1 Sr 0.000 0.000 0.000 1
Zr1 Zr 0.000 0.000 0.500 1
Zr2 Zr 0.000 0.500 0.750 1
Cu1 Cu 0.000 0.500 0.250 1

*R*
# SrZr2Cu, optimized geometry, DFT PBE-GGA
# N(E_F) = 22.18 states/eV/cell
# Crystal system = tetragonal
# Mass density = 4.40 g/cm³
data_SrZr2Cu
_symmetry_space_group_name_H-M 'I -4 2 d'
_symmetry_Int_Tables_number 122
_symmetry_space_group_name_Hall 'I -4 2bw'
_cell_length_a 5.049
_cell_length_b 5.049
_cell_length_c 19.748
_cell_angle_alpha 90.00
_cell_angle_beta 90.00
_cell_angle_gamma 90.00
loop_
_atom_site_label
_atom_site_type_symbol
_atom_site_fract_x
_atom_site_fract_y
_atom_site_fract_z
_atom_site_occupancy
Sr1 Sr 0.000 0.000 0.000 1
Zr1 Zr 0.035 0.250 0.625 1
Cu1 Cu 0.000 0.000 0.500 1

*S*
# SrZr2Cu, optimized geometry, DFT PBE-GGA
# N(E_F) = 28.13 states/eV/cell
# Crystal system = cubic
# Mass density = 6.09 g/cm³
data_SrZr2Cu
_symmetry_space_group_name_H-M 'F m -3 m'
_symmetry_Int_Tables_number 225
_symmetry_space_group_name_Hall '-F 4 2 3'
_cell_length_a 7.139
_cell_length_b 7.139
_cell_length_c 7.139
_cell_angle_alpha 90.00
_cell_angle_beta 90.00
_cell_angle_gamma 90.00
loop_
_atom_site_label
_atom_site_type_symbol
_atom_site_fract_x
_atom_site_fract_y
_atom_site_fract_z
_atom_site_occupancy
Sr1 Sr 0.000 0.000 0.000 1
Zr1 Zr 0.250 0.250 0.250 1
Cu1 Cu 0.000 0.000 0.500 1

Relative to the most stable structure, the computed energies are *P* 0.0; *Q* 6.8; *R* 30.5; *S* 16.6, all in kJ/mol of atoms.